DFT (GGA-PBE) results for a geometry-optimized Ac8Te4IrRh3 structure.

Cell: 9.452 9.452 9.452 Å, 55.84 55.84 55.84°
Element x y z (fractional)
Ac: 0.237 0.237 0.237
Ac: 0.238 0.736 0.736
Ac: 0.264 0.264 0.762
Ac: 0.264 0.762 0.264
Ac: 0.736 0.238 0.736
Ac: 0.736 0.736 0.238
Ac: 0.762 0.264 0.264
Ac: 0.763 0.763 0.763
Te: 0.000 0.000 0.000
Te: 0.000 0.500 0.500
Te: 0.500 0.000 0.500
Te: 0.500 0.500 0.000
Ir: 0.500 0.500 0.500
Rh: 0.000 0.000 0.500
Rh: 0.000 0.500 0.000
Rh: 0.500 0.000 0.000

Output
Formation energy (no corrections)   -105.6 kJ/mol of atoms
Energy   -5.867 eV/atom
Fermi-level density of states   9.647 states/eV per cell
Total moment   0.0 μB/f.u.